1.
Nd2SiPdPt6 | PBE | optimized geometry

abc: 5.4283 8.5273 6.4467
angles: 52.56 65.10 90.01
Atoms (fractional coordinates):
Pt 0.2649 0.2401 0.9777
Pt 0.7521 0.9068 0.4965
Pt 0.7569 0.2397 0.9782
Pt 0.2479 0.0932 0.5035
Pt 0.2431 0.7603 0.0218
Pt 0.7351 0.7599 0.0223
Nd 0.7723 0.3054 0.4553
Nd 0.2277 0.6946 0.5447
Pd 0.5000 0.5000 0.0000
Si 0.0000 0.0000 0.0000

Results
Its density of states at the Fermi level is 4.35 states/eV/f.u. For the formation energy from raw total energies, the calculation gives -800 meV per atom.

---

2.
Nd3Si6PdPt2 | PBE | optimized geometry

abc: 5.8334 5.8334 8.1035
angles: 90.00 90.00 120.00
Atoms (fractional coordinates):
Si 0.8067 0.1933 0.7044
Si 0.6134 0.8067 0.2956
Si 0.1933 0.3866 0.2956
Si 0.1933 0.8067 0.2956
Si 0.8067 0.6134 0.7044
Si 0.3866 0.1933 0.7044
Pt 0.3333 0.6667 0.0446
Pt 0.6667 0.3333 0.9554
Nd 0.0000 0.0000 0.0000
Nd 0.6667 0.3333 0.3584
Nd 0.3333 0.6667 0.6416
Pd 0.0000 0.0000 0.5000

Results
Its density of states at the Fermi level is 4.53 states/eV/f.u. For the formation energy from raw total energies, the calculation gives -497 meV per atom.

---

3.
Nd3Si2PdPt9 | PBE | optimized geometry

abc: 5.6955 5.6955 11.0645
angles: 90.00 90.00 120.00
Atoms (fractional coordinates):
Si 0.3333 0.6667 0.1598
Si 0.6667 0.3333 0.8402
Nd 0.6667 0.3333 0.4160
Nd 0.0000 0.0000 0.0000
Nd 0.3333 0.6667 0.5840
Pt 0.5000 0.5000 0.0000
Pt 0.3240 0.1620 0.6935
Pt 0.8380 0.6760 0.6935
Pt 0.8380 0.1620 0.6935
Pt 0.1620 0.3240 0.3065
Pt 0.0000 0.5000 0.0000
Pt 0.5000 0.0000 0.0000
Pt 0.6760 0.8380 0.3065
Pt 0.1620 0.8380 0.3065
Pd 0.0000 0.0000 0.5000

Results
Its density of states at the Fermi level is 5.93 states/eV/f.u. For the formation energy from raw total energies, the calculation gives -775 meV per atom.

---

4.
Nd2SiPd4Pt2 | PBE | optimized geometry

abc: 6.2131 6.2131 6.2131
angles: 89.70 120.18 120.18
Atoms (fractional coordinates):
Pd 0.5445 0.2722 0.2722
Pd 0.4555 0.7278 0.7278
Pd 0.0000 0.2722 0.7278
Pd 0.0000 0.7278 0.2722
Pt 0.0000 0.2662 0.2662
Pt 0.0000 0.7338 0.7338
Nd 0.5000 0.7500 0.2500
Nd 0.5000 0.2500 0.7500
Si 0.0000 0.0000 0.0000

Results
Its density of states at the Fermi level is 4.75 states/eV/f.u. For the formation energy from raw total energies, the calculation gives -897 meV per atom.

---

5.
NdSiPd2Pt2 | PBE | optimized geometry

abc: 4.6197 4.6197 5.6568
angles: 90.00 90.00 90.00
Atoms (fractional coordinates):
Pd 0.5000 0.5000 0.7368
Pd 0.5000 0.5000 0.2632
Nd 0.0000 0.0000 0.5000
Si 0.0000 0.0000 0.0000
Pt 0.0000 0.5000 0.0000
Pt 0.5000 0.0000 0.0000

Results
Its density of states at the Fermi level is 5.66 states/eV/f.u. For the formation energy from raw total energies, the calculation gives -332 meV per atom.

---

6.
Nd2Si3PdPt4 | PBE | optimized geometry

abc: 4.2472 4.2472 10.2919
angles: 90.00 90.00 90.00
Atoms (fractional coordinates):
Si 0.0000 0.0000 0.5000
Si 0.0000 0.5000 0.1241
Si 0.5000 0.0000 0.8759
Pd 0.5000 0.5000 0.5000
Pt 0.0000 0.0000 0.0000
Pt 0.0000 0.5000 0.3512
Pt 0.5000 0.5000 0.0000
Pt 0.5000 0.0000 0.6488
Nd 0.0000 0.5000 0.7425
Nd 0.5000 0.0000 0.2575

Results
Its density of states at the Fermi level is 6.08 states/eV/f.u. For the formation energy from raw total energies, the calculation gives -986 meV per atom.

---

7.
Nd2Si3PdPt12 | PBE | optimized geometry

abc: 7.7053 7.7053 7.7053
angles: 64.86 64.86 64.86
Atoms (fractional coordinates):
Pd 0.0000 0.0000 0.0000
Pt 0.1323 0.1323 0.6183
Pt 0.1024 0.6462 0.6462
Pt 0.8677 0.3817 0.8677
Pt 0.6183 0.1323 0.1323
Pt 0.6462 0.6462 0.1024
Pt 0.3817 0.8677 0.8677
Pt 0.3538 0.3538 0.8976
Pt 0.3538 0.8976 0.3538
Pt 0.8677 0.8677 0.3817
Pt 0.8976 0.3538 0.3538
Pt 0.6462 0.1024 0.6462
Pt 0.1323 0.6183 0.1323
Si 0.5000 0.0000 0.0000
Si 0.0000 0.0000 0.5000
Si 0.0000 0.5000 0.0000
Nd 0.3884 0.3884 0.3884
Nd 0.6116 0.6116 0.6116

Results
Its density of states at the Fermi level is 7.37 states/eV/f.u. For the formation energy from raw total energies, the calculation gives -416 meV per atom.

---

8.
Nd2Si4Pd3Pt | PBE | optimized geometry

abc: 4.2531 4.2531 9.9585
angles: 90.00 90.00 90.00
Atoms (fractional coordinates):
Nd 0.0000 0.5000 0.7549
Nd 0.5000 0.0000 0.2451
Si 0.0000 0.5000 0.3692
Si 0.5000 0.5000 0.0000
Si 0.0000 0.0000 0.0000
Si 0.5000 0.0000 0.6308
Pd 0.0000 0.0000 0.5000
Pd 0.0000 0.5000 0.1229
Pd 0.5000 0.0000 0.8771
Pt 0.5000 0.5000 0.5000

Results
Its density of states at the Fermi level is 5.37 states/eV/f.u. For the formation energy from raw total energies, the calculation gives -943 meV per atom.

---

9.
NdSi2Pd2Pt | PBE | optimized geometry

abc: 4.5888 4.5888 5.7091
angles: 90.00 90.00 90.00
Atoms (fractional coordinates):
Si 0.5000 0.0000 0.0000
Si 0.0000 0.5000 0.0000
Pt 0.0000 0.0000 0.0000
Pd 0.5000 0.5000 0.7492
Pd 0.5000 0.5000 0.2508
Nd 0.0000 0.0000 0.5000

Results
Its density of states at the Fermi level is 4.18 states/eV/f.u. For the formation energy from raw total energies, the calculation gives -447 meV per atom.

---

10.
Nd2SiPd2Pt4 | PBE | optimized geometry

abc: 6.2044 6.2044 6.2044
angles: 90.35 119.80 119.80
Atoms (fractional coordinates):
Si 0.0000 0.0000 0.0000
Pt 0.0000 0.2685 0.7315
Pt 0.4631 0.7315 0.7315
Pt 0.0000 0.7315 0.2685
Pt 0.5369 0.2685 0.2685
Nd 0.5000 0.7500 0.2500
Nd 0.5000 0.2500 0.7500
Pd 0.0000 0.2734 0.2734
Pd 0.0000 0.7266 0.7266

Results
Its density of states at the Fermi level is 4.67 states/eV/f.u. For the formation energy from raw total energies, the calculation gives -938 meV per atom.

---

11.
Nd2Sn4PdPt3 | PBE | optimized geometry

abc: 4.5997 4.5997 10.7270
angles: 90.00 90.00 90.00
Atoms (fractional coordinates):
Nd 0.0000 0.5000 0.7396
Nd 0.5000 0.0000 0.2604
Sn 0.5000 0.0000 0.6274
Sn 0.0000 0.5000 0.3726
Sn 0.0000 0.0000 0.0000
Sn 0.5000 0.5000 0.0000
Pt 0.5000 0.0000 0.8699
Pt 0.0000 0.0000 0.5000
Pt 0.0000 0.5000 0.1301
Pd 0.5000 0.5000 0.5000

Results
Its density of states at the Fermi level is 4.62 states/eV/f.u. The formation energy from the elements is -0.84 eV per atom.

---

12.
NdSn2Pd4Pt | PBE | optimized geometry

abc: 4.6328 4.6328 8.5761
angles: 74.33 74.33 60.00
Atoms (fractional coordinates):
Pt 0.5000 0.5000 0.5000
Pd 0.3890 0.3890 0.8329
Pd 0.8761 0.8761 0.3718
Pd 0.1239 0.1239 0.6282
Pd 0.6110 0.6110 0.1671
Sn 0.2394 0.2394 0.2817
Sn 0.7606 0.7606 0.7183
Nd 0.0000 0.0000 0.0000

Results
Its density of states at the Fermi level is 4.34 states/eV/f.u. The formation energy from the elements is -0.56 eV per atom.

---

Repeat the first record exactly.
Nd2SiPdPt6 | PBE | optimized geometry

abc: 5.4283 8.5273 6.4467
angles: 52.56 65.10 90.01
Atoms (fractional coordinates):
Pt 0.2649 0.2401 0.9777
Pt 0.7521 0.9068 0.4965
Pt 0.7569 0.2397 0.9782
Pt 0.2479 0.0932 0.5035
Pt 0.2431 0.7603 0.0218
Pt 0.7351 0.7599 0.0223
Nd 0.7723 0.3054 0.4553
Nd 0.2277 0.6946 0.5447
Pd 0.5000 0.5000 0.0000
Si 0.0000 0.0000 0.0000

Results
Its density of states at the Fermi level is 4.35 states/eV/f.u. For the formation energy from raw total energies, the calculation gives -800 meV per atom.